Computed, not measured: a relaxed structure of FeWCl2 at the PBE-GGA level of DFT.

Summary:
Magnetic moment ... 0.00 μB/atom
DFT total energy ... -6.4140 eV per atom
Calculated density ... 6219 kg/m3
Formation energy from raw total energies ... -137 meV/atom
ΔE to the lowest computed polymorph ... 0 meV per atom

Unit cell a=6.0601 b=3.2323 c=8.6023 alpha=90.00 beta=100.17 gamma=90.00
With the nearest neighbours (Å) after each atom.
Atoms (fractional coordinates):
Fe1 0.0000 0.0000 0.0000  3 W 2.25-2.36, 3 Cl 2.41-2.49
Fe2 0.5000 0.5000 0.0000  3 W 2.25-2.36, 3 Cl 2.41-2.49
W1 0.2300 0.5000 0.1496  3 Fe 2.25-2.36, 2 Cl 2.52
W2 0.7300 0.0000 0.1496  3 Fe 2.25-2.36, 2 Cl 2.52
Cl1 0.1450 0.5000 0.8214  3 Fe 2.41-2.49
Cl2 0.3121 0.0000 0.3771  2 W 2.52
Cl3 0.6450 0.0000 0.8214  3 Fe 2.41-2.49
Cl4 0.8121 0.5000 0.3771  2 W 2.52